(i)
{"formula": "OsPbF2", "functional": "GGA-PBE", "state": "optimized geometry", "lattice_angstrom": [[7.140, 0.000, 0.000], [0.000, 7.140, 0.000], [0.000, 0.000, 5.344]], "species": ["Os", "Os", "Os", "Os", "Pb", "Pb", "Pb", "Pb", "F", "F", "F", "F", "F", "F", "F", "F"], "fractional_positions": [[0.000, 0.000, 0.000], [0.000, 0.500, 0.250], [0.500, 0.000, 0.750], [0.500, 0.500, 0.500], [0.000, 0.000, 0.500], [0.000, 0.500, 0.750], [0.500, 0.000, 0.250], [0.500, 0.500, 0.000], [0.157, 0.250, 0.125], [0.250, 0.657, 0.375], [0.250, 0.843, 0.875], [0.343, 0.250, 0.625], [0.657, 0.750, 0.625], [0.750, 0.157, 0.875], [0.750, 0.343, 0.375], [0.843, 0.750, 0.125]], "dos_ef_per_ev_fu": 0.00, "magnetic_moment_mub_per_fu": 0.00, "space_group": "No. 122"}

(ii)
{"formula": "OsPbF2", "functional": "GGA-PBE", "state": "optimized geometry", "lattice_angstrom": [[3.000, 0.000, 0.000], [-1.500, 2.598, 0.000], [0.000, 0.000, 24.892]], "species": ["Os", "Os", "Os", "Pb", "Pb", "Pb", "F", "F", "F", "F", "F", "F"], "fractional_positions": [[0.000, 0.000, 0.000], [0.333, 0.667, 0.667], [0.667, 0.333, 0.333], [0.000, 0.000, 0.500], [0.333, 0.667, 0.167], [0.667, 0.333, 0.833], [0.000, 0.000, 0.081], [0.000, 0.000, 0.919], [0.333, 0.667, 0.586], [0.333, 0.667, 0.748], [0.667, 0.333, 0.252], [0.667, 0.333, 0.414]], "dos_ef_per_ev_fu": 2.49, "magnetic_moment_mub_per_fu": 1.26, "space_group": "No. 166"}

Stability check: which of them is most stable? (ii).